Here is a relaxed structure of Ta2CdCoIr from Alexandria via LeMat-Bulk. Energies are from GGA-PBE.

- ΔE_f: 0.75 eV per atom
- Fermi-level density of states: 7.03 states/eV/cell
- Electronic total energy: -0.27072 Ha/atom
- Total magnetic moment: 0.001 μB per formula unit

a = 4.511 Å, b = 4.511 Å, c = 4.625 Å
α = 90.00°, β = 90.00°, γ = 90.00°
Element x y z (fractional)
Ta (0.000, 0.500, 0.000)
Ta (0.500, 0.000, 0.000)
Cd (0.000, 0.000, 0.500)
Co (0.500, 0.500, 0.000)
Ir (0.500, 0.500, 0.500)